Record 1
The following is a DFT calculation (GGA-PBE) of a relaxed AcDyCd crystal.

calculated volume: 100.8 Å³ per cell
crystal system: trigonal
distance to the lowest polymorph of the same formula: 94 meV per atom
energy of formation: -0.0707 eV per atom

a b c (Å): 5.4087 5.4087 3.9802
angles (deg): 90.00 90.00 120.00
Closest atoms and distances in Å follow each position.
Space group P3m1 (No. 156)
Asymmetric unit:
Ac 0.0000 0.0000 0.0000 (multiplicity 1)  6 Cd 3.70-3.71, 6 Dy 3.70, 2 Ac 3.98
Dy 0.3333 0.6667 0.5006 (multiplicity 1)  3 Cd 3.12
Cd 0.6667 0.3333 0.4981 (multiplicity 1)  3 Dy 3.12

Record 2
The following is a DFT calculation (GGA-PBE) of a relaxed Hf3CdC crystal.

calculated volume: 370.0 Å³ per cell
crystal system: monoclinic
distance to the lowest polymorph of the same formula: 37 meV per atom
energy of formation: -0.3970 eV per atom

a b c (Å): 10.5495 4.6643 8.2516
angles (deg): 90.00 114.33 90.00
Closest atoms and distances in Å follow each position.
Space group C2/m (No. 12)
Asymmetric unit:
Hf 0.1121 0.0000 0.1918 (multiplicity 4)  2 C 2.23-2.24
Hf 0.1408 0.5000 0.9358 (multiplicity 4)  3 C 2.31-2.34
Hf 0.1429 0.0000 0.6725 (multiplicity 4)  1 C 2.19
Cd 0.1106 0.5000 0.4353 (multiplicity 4)  1 Cd 2.94, 7 Hf 2.97-3.26
C 0.1194 0.0000 0.9244 (multiplicity 4)  6 Hf 2.19-2.34

Record 3
The following is a DFT calculation (GGA-PBE) of a relaxed TiMoN2 crystal.

calculated volume: 148.3 Å³ per cell
crystal system: trigonal
distance to the lowest polymorph of the same formula: 736 meV per atom
E_form (uncorrected): -268.2 meV per atom

a b c (Å): 3.0222 3.0222 18.7514
angles (deg): 90.00 90.00 120.00
Closest atoms and distances in Å follow each position.
Space group R-3m (No. 166, hexagonal axes)
Asymmetric unit:
Ti 0.0000 0.0000 0.0000 (multiplicity 3)  2 N 1.96
Mo 0.0000 0.0000 0.5000 (multiplicity 3)  6 N 2.10
N 0.0000 0.0000 0.1043 (multiplicity 6)  1 Ti 1.96, 3 Mo 2.10

Record 4
The following is a DFT calculation (GGA-PBE) of a relaxed Rb2Sc3Br9 crystal.

calculated volume: 2054.1 Å³ per cell
crystal system: monoclinic
E_form (uncorrected): -1629.7 meV per atom

a b c (Å): 11.5614 18.6617 10.6622
angles (deg): 90.00 116.76 90.00
Closest atoms and distances in Å follow each position.
Space group C2/m (No. 12)
Asymmetric unit:
Rb 0.0923 0.1643 0.3066 (multiplicity 8)  6 Br 3.44-3.77
Sc 0.1451 0.5000 0.8435 (multiplicity 4)  5 Br 2.58-2.68
Sc 0.1526 0.3959 0.1605 (multiplicity 8)  5 Br 2.66-2.70
Br 0.0000 0.2899 0.0000 (multiplicity 4)  2 Sc 2.69
Br 0.0202 0.3993 0.3110 (multiplicity 8)  2 Sc 2.66-2.67
Br 0.1899 0.2024 0.6648 (multiplicity 8)  1 Sc 2.66
Br 0.1928 0.0000 0.6781 (multiplicity 4)  2 Sc 2.68
Br 0.2075 0.1039 0.9847 (multiplicity 8)  2 Sc 2.68-2.70
Br 0.2220 0.0000 0.2964 (multiplicity 4)  1 Sc 2.58

Record 5
The following is a DFT calculation (GGA-PBE) of a relaxed Ni3Ag5 crystal.

calculated volume: 252.1 Å³ per cell
crystal system: hexagonal
distance to the lowest polymorph of the same formula: 15 meV per atom
energy of formation: 0.3386 eV per atom

a b c (Å): 7.5189 7.5189 5.1490
angles (deg): 90.00 90.00 120.00
Closest atoms and distances in Å follow each position.
Space group P6_3/mcm (No. 193)
Asymmetric unit:
Ni 0.0000 0.4113 0.2500 (multiplicity 6)  9 Ag 2.61-2.91, 2 Ni 2.90
Ag 0.0000 0.2316 0.7500 (multiplicity 6)  5 Ni 2.68-2.91
Ag 0.3333 0.6667 0.0000 (multiplicity 4)  2 Ag 2.57, 6 Ni 2.61

Record 6
The following is a DFT calculation (GGA-PBE) of a relaxed Er6Au2Se3S crystal.

calculated volume: 567.9 Å³ per cell
crystal system: monoclinic
E_form (uncorrected): -1455.2 meV per atom

a b c (Å): 18.2810 3.9426 8.3278
angles (deg): 90.00 108.89 90.00
Closest atoms and distances in Å follow each position.
Space group C2/m (No. 12)
Asymmetric unit:
Er 0.0091 0.0000 0.2435 (multiplicity 4)  2 S 2.79, 3 Se 2.91-2.95, 1 Au 2.99
Er 0.1590 0.5000 0.6097 (multiplicity 4)  3 Se 2.75-2.87, 3 Au 2.88
Er 0.1654 0.5000 0.1148 (multiplicity 4)  1 S 2.86, 3 Se 2.87-3.15, 2 Au 2.89
Au 0.1817 0.0000 0.3774 (multiplicity 4)  6 Er 2.88-2.99
Se 0.0000 0.5000 0.5000 (multiplicity 2)  6 Er 2.75-2.95
Se 0.1591 0.0000 0.8601 (multiplicity 4)  6 Er 2.87-3.15
S 0.0000 0.5000 0.0000 (multiplicity 2)  6 Er 2.79-2.86

Record 7
The following is a DFT calculation (GGA-PBE) of a relaxed DyTlGe2Cl8 crystal.

calculated volume: 394.0 Å³ per cell
crystal system: triclinic
E_form (uncorrected): -1314.1 meV per atom

a b c (Å): 6.3103 6.9225 9.0665
angles (deg): 85.93 89.64 85.77
Closest atoms and distances in Å follow each position.
Space group P-1 (No. 2)
Asymmetric unit:
Dy 0.0000 0.0000 0.0000 (multiplicity 1)  6 Cl 2.62-2.71
Tl 0.0000 0.0000 0.5000 (multiplicity 1)  6 Cl 3.18-3.24
Ge 0.4611 0.4493 0.7667 (multiplicity 2)  2 Cl 2.29-2.45
Cl 0.2149 0.8150 0.7988 (multiplicity 2)  1 Dy 2.62, 1 Ge 2.90
Cl 0.2372 0.3107 0.9626 (multiplicity 2)  1 Ge 2.45, 1 Dy 2.71
Cl 0.2675 0.8618 0.2160 (multiplicity 2)  1 Ge 2.65, 1 Dy 2.67
Cl 0.2748 0.3608 0.5693 (multiplicity 2)  1 Ge 2.29

Record 8
The following is a DFT calculation (GGA-PBE) of a relaxed CeMg2AgHg4 crystal.

calculated volume: 554.9 Å³ per cell
crystal system: trigonal
energy of formation: -0.2124 eV per atom

a b c (Å): 4.8599 4.8599 27.1273
angles (deg): 90.00 90.00 120.00
Closest atoms and distances in Å follow each position.
Space group R-3m (No. 166, hexagonal axes)
Asymmetric unit:
Ce 0.0000 0.0000 0.0000 (multiplicity 3)  8 Hg 3.16-3.38
Mg 0.0000 0.0000 0.2409 (multiplicity 6)  7 Hg 2.94-3.15
Ag 0.0000 0.0000 0.5000 (multiplicity 3)  8 Hg 3.03-3.06
Hg 0.0000 0.0000 0.1247 (multiplicity 6)  4 Mg 2.94-3.15, 3 Ag 3.03
Hg 0.0000 0.0000 0.3873 (multiplicity 6)  3 Mg 2.99, 1 Ag 3.06, 3 Ce 3.16

Record 9
The following is a DFT calculation (GGA-PBE) of a relaxed LiVPd14 crystal.

calculated volume: 240.4 Å³ per cell
crystal system: tetragonal
energy of formation: -0.1372 eV per atom

a b c (Å): 5.5654 5.5654 7.7619
angles (deg): 90.00 90.00 90.00
Closest atoms and distances in Å follow each position.
Space group P4/mmm (No. 123)
Asymmetric unit:
Li 0.0000 0.0000 0.0000 (multiplicity 1)  12 Pd 2.73-2.78
V 0.5000 0.5000 0.0000 (multiplicity 1)  12 Pd 2.70-2.78
Pd 0.0000 0.0000 0.5000 (multiplicity 1)  12 Pd 2.78-2.82
Pd 0.0000 0.5000 0.0000 (multiplicity 2)  8 Pd 2.72, 2 Li 2.78, 2 V 2.78
Pd 0.0000 0.5000 0.5000 (multiplicity 2)  12 Pd 2.78-2.81
Pd 0.2528 0.2528 0.2417 (multiplicity 8)  1 V 2.70, 10 Pd 2.72-2.82, 1 Li 2.73
Pd 0.5000 0.5000 0.5000 (multiplicity 1)  12 Pd 2.78-2.79

Q: The highest calculated volume belongs to which entry?
A: Rb2Sc3Br9

Q: What is the formula in the second record?
A: Hf3CdC

Q: Which of these has the lowest calculated volume?
A: AcDyCd

Q: What is the calculated volume in the second record?
A: 370.0 Å³ per cell